(1)
TcHg2Br at its PBEsol-relaxed geometry. Source: the Alexandria database, functional meta-GGA SCAN.

Cell: 3.0273 3.0273 8.9996 Å, 90.00 90.00 90.00°
Atoms (fractional coordinates):
Hg1 0.0000 0.0000 0.0110
Hg2 0.5000 0.5000 0.2938
Br1 0.5000 0.5000 0.6717
Tc1 0.0000 0.0000 0.5235

Results
crystal system = tetragonal
M_tot = 0.0 μB/cell
space-group type = No. 99

---

(2)
TcHg2Br at its PBEsol-relaxed geometry. Source: the Alexandria database, functional meta-GGA SCAN.

Cell: 4.8315 4.8315 4.8315 Å, 60.00 60.00 60.00°
Site moments in Bohr magnetons follow the coordinates.
Atoms (fractional coordinates):
Hg1 0.0000 0.0000 0.0000  0.06
Hg2 0.7500 0.7500 0.7500  0.03
Br1 0.5000 0.5000 0.5000  0.09
Tc1 0.2500 0.2500 0.2500  3.29

Results
crystal system = cubic
M_tot = 3.6 μB/cell
space-group type = No. 216

---

Preferred: (1); penalty for the next structure: 353 meV/atom.